Here is Ag3GeRh at its PBEsol-relaxed geometry from the Alexandria database. Energies are from meta-GGA SCAN.

Cell lengths 4.6427, 4.6427, 4.6427 Å; angles 90.00, 90.00, 90.00 degrees
Last column: nearest neighbours and their distance in Å.
Fractional coordinates of all 5 atoms:
Ge  0.0000  0.0000  0.0000  6 Ag 2.32
Ag  0.0000  0.0000  0.5000  2 Ge 2.32
Ag  0.0000  0.5000  0.0000  2 Ge 2.32
Ag  0.5000  0.0000  0.0000  2 Ge 2.32
Rh  0.5000  0.5000  0.5000  12 Ag 3.28

**Fermi-level density of states**: 4.3 states/eV/f.u.
**Space-group type**: Pm-3m, No. 221
**Formation enthalpy at 0 K**: 0.913 eV/atom
**Raw total energy**: -142.40 eV for the cell shown



Here is TiAgGeRh2 at its PBEsol-relaxed geometry from the Alexandria database. Energies are from meta-GGA SCAN.

Cell lengths 4.4262, 4.7649, 4.7649 Å; angles 90.00, 90.00, 90.00 degrees
Last column: nearest neighbours and their distance in Å.
Fractional coordinates of all 5 atoms:
Rh  0.0000  0.0000  0.5000  2 Ag 2.38
Rh  0.0000  0.5000  0.0000  2 Ag 2.38
Ag  0.0000  0.0000  0.0000  2 Ge 2.21, 4 Rh 2.38
Ti  0.5000  0.5000  0.5000  8 Rh 3.25, 4 Ge 3.37
Ge  0.5000  0.0000  0.0000  2 Ag 2.21

**Fermi-level density of states**: 4.7 states/eV/f.u.
**Space-group type**: P4/mmm, No. 123
**Formation enthalpy at 0 K**: 1.265 eV/atom
**Raw total energy**: -127.70 eV for the cell shown



Here is TiAgGe2Rh at its PBEsol-relaxed geometry from the Alexandria database. Energies are from meta-GGA SCAN.

Cell lengths 4.6534, 4.6534, 4.7820 Å; angles 90.00, 90.00, 90.00 degrees
Last column: nearest neighbours and their distance in Å.
Fractional coordinates of all 5 atoms:
Ti  0.0000  0.0000  0.0000  4 Ge 2.33, 2 Ag 2.39
Ge  0.5000  0.0000  0.0000  2 Ti 2.33
Ge  0.0000  0.5000  0.0000  2 Ti 2.33
Rh  0.5000  0.5000  0.5000  4 Ag 3.29, 8 Ge 3.34
Ag  0.0000  0.0000  0.5000  2 Ti 2.39

**Fermi-level density of states**: 4.1 states/eV/f.u.
**Space-group type**: P4/mmm, No. 123
**Formation enthalpy at 0 K**: 1.066 eV/atom
**Raw total energy**: -114.01 eV for the cell shown



Here is AgGe3Ru at its PBEsol-relaxed geometry from the Alexandria database. Energies are from meta-GGA SCAN.

Cell lengths 4.7112, 4.7112, 4.7112 Å; angles 90.00, 90.00, 90.00 degrees
Last column: nearest neighbours and their distance in Å.
Fractional coordinates of all 5 atoms:
Ge  0.0000  0.0000  0.5000  2 Ru 2.36
Ge  0.5000  0.0000  0.0000  2 Ru 2.36
Ge  0.0000  0.5000  0.0000  2 Ru 2.36
Ag  0.5000  0.5000  0.5000  12 Ge 3.33
Ru  0.0000  0.0000  0.0000  6 Ge 2.36

**Fermi-level density of states**: 4.6 states/eV/f.u.
**Space-group type**: Pm-3m, No. 221
**Formation enthalpy at 0 K**: 0.399 eV/atom
**Raw total energy**: -121.46 eV for the cell shown



Here is SiAg2GeS at its PBEsol-relaxed geometry from the Alexandria database. Energies are from meta-GGA SCAN.

Cell lengths 4.5668, 4.5668, 5.1553 Å; angles 90.00, 90.00, 90.00 degrees
Last column: nearest neighbours and their distance in Å.
Fractional coordinates of all 5 atoms:
Si  0.5000  0.5000  0.5000  4 Ge 3.23, 8 Ag 3.44
Ag  0.0000  0.5000  0.0000  2 S 2.28
Ag  0.5000  0.0000  0.0000  2 S 2.28
Ge  0.0000  0.0000  0.5000  2 S 2.58
S  0.0000  0.0000  0.0000  4 Ag 2.28

**Uncorrected formation energy**: 0.7739 eV/atom
**Fermi-level density of states**: 2.9 states/eV/f.u.
**Space-group type**: P4/mmm, No. 123
**Raw total energy**: -97.60 eV for the cell shown



Here is Y6AgGe2S14 at its PBEsol-relaxed geometry from the Alexandria database. Energies are from meta-GGA SCAN.

Cell lengths 5.6366, 9.7622, 9.7622 Å; angles 120.00, 90.00, 90.00 degrees
Last column: nearest neighbours and their distance in Å.
Fractional coordinates of all 23 atoms:
S  0.9809  0.9036  0.4196  1 Ge 2.23
S  0.2227  0.0946  0.2607  1 Ag 2.64, 3 Y 2.73-2.84
S  0.4302  0.6667  0.3333  1 Ge 2.18
S  0.7149  0.8365  0.0984  1 Ag 2.62, 3 Y 2.71-2.80
S  0.4853  0.4203  0.5166  1 Ge 2.23
S  0.9809  0.5160  0.0964  1 Ge 2.23
S  0.2227  0.7393  0.8339  1 Ag 2.64, 3 Y 2.73-2.84
S  0.4853  0.4834  0.9036  1 Ge 2.23
S  0.7149  0.2619  0.1635  1 Ag 2.62, 3 Y 2.71-2.80
S  0.9809  0.5804  0.4840  1 Ge 2.23
S  0.9354  0.3333  0.6667  1 Ge 2.18
S  0.2227  0.1661  0.9054  1 Ag 2.64, 3 Y 2.73-2.84
S  0.7149  0.9016  0.7381  1 Ag 2.62, 3 Y 2.71-2.80
S  0.4853  0.0964  0.5797  1 Ge 2.23
Y  0.2397  0.3557  0.2269  7 S 2.73-2.92
Y  0.2397  0.8712  0.6443  7 S 2.73-2.92
Y  0.2397  0.7731  0.1288  7 S 2.73-2.92
Y  0.7391  0.6443  0.7744  8 S 2.71-3.02
Y  0.7391  0.2256  0.8699  8 S 2.71-3.02
Y  0.7391  0.1301  0.3557  8 S 2.71-3.02
Ag  0.4718  0.0000  0.0000  6 S 2.62-2.64
Ge  0.8161  0.6667  0.3333  4 S 2.18-2.23
Ge  0.3217  0.3333  0.6667  4 S 2.18-2.23

**Uncorrected formation energy**: -1.6536 eV/atom
**Fermi-level density of states**: 10.6 states/eV/f.u.
**Space-group type**: P3, No. 143
**Raw total energy**: -409.42 eV for the cell shown



- Number 5 is which compound?
  SiAg2GeS



- Which value of raw total energy does entry 6 give?
  -409.42 eV for the cell shown